# 1
Te2AsOs | PBEsol | optimized geometry

Output
- Total moment: 0.00 μB per formula unit
- Space group: No. 99
- Formation energy from raw total energies: 0.249 eV/atom

```
Te2AsOs
1.0
3.0452 0.0000 0.0000
0.0000 3.0452 0.0000
0.0000 0.0000 9.4298
Te As Os
2 1 1
Direct
0.0000 0.0000 0.0000
0.5000 0.5000 0.3362
0.0000 0.0000 0.6442
0.5000 0.5000 0.7995
```

=====

# 2
TeAsOs2 | PBEsol | optimized geometry

Output
- Total moment: 0.00 μB per formula unit
- Excess energy over the best structure of this formula in the dataset: 210 meV per atom
- Space group: No. 65
- Formation energy from raw total energies: 0.921 eV/atom

```
TeAsOs2
1.0
2.9589 0.0000 0.0000
0.0000 5.2020 0.0000
0.0000 0.0000 8.8300
Te As Os
2 2 4
Direct
0.0000 0.0000 0.0000
0.5000 0.5000 0.0000
0.0000 0.0000 0.5000
0.5000 0.5000 0.5000
0.0000 0.5000 0.2839
0.0000 0.5000 0.7161
0.5000 0.0000 0.2839
0.5000 0.0000 0.7161
```